Entry 1:
# SCAN BeAlIr2, PBEsol geometry
# Total DFT energy (no corrections) = -39.567 eV/atom
data_BeAlIr2
_chemical_formula_sum 'Be1 Al1 Ir2'
_space_group_name_H-M_alt 'P 1'
_space_group_IT_number 1
_cell_length_a 4.097
_cell_length_b 4.097
_cell_length_c 4.097
_cell_angle_alpha 60.00
_cell_angle_beta 60.00
_cell_angle_gamma 60.00
loop_
_space_group_symop_operation_xyz
'x,y,z'
loop_
_atom_site_label
_atom_site_type_symbol
_atom_site_fract_x
_atom_site_fract_y
_atom_site_fract_z
Be1 Be 0.000 0.000 0.000
Al1 Al 0.500 0.500 0.500
Ir1 Ir 0.250 0.250 0.250
Ir2 Ir 0.750 0.750 0.750

Entry 2:
# SCAN Be2AlIr, PBEsol geometry
# Total DFT energy (no corrections) = -22.494 eV/atom
data_Be2AlIr
_chemical_formula_sum 'Be2 Al1 Ir1'
_space_group_name_H-M_alt 'P 1'
_space_group_IT_number 1
_cell_length_a 4.438
_cell_length_b 4.438
_cell_length_c 4.438
_cell_angle_alpha 133.67
_cell_angle_beta 133.67
_cell_angle_gamma 67.61
loop_
_space_group_symop_operation_xyz
'x,y,z'
loop_
_atom_site_label
_atom_site_type_symbol
_atom_site_fract_x
_atom_site_fract_y
_atom_site_fract_z
Be1 Be 0.000 0.000 0.000
Be2 Be 0.750 0.250 0.500
Al1 Al 0.250 0.750 0.500
Ir1 Ir 0.500 0.500 0.000

Entry 3:
# SCAN Be4AlIr, PBEsol geometry
# Total DFT energy (no corrections) = -16.738 eV/atom
data_Be4AlIr
_chemical_formula_sum 'Be4 Al1 Ir1'
_space_group_name_H-M_alt 'P 1'
_space_group_IT_number 1
_cell_length_a 4.300
_cell_length_b 4.300
_cell_length_c 4.300
_cell_angle_alpha 60.00
_cell_angle_beta 60.00
_cell_angle_gamma 60.00
loop_
_space_group_symop_operation_xyz
'x,y,z'
loop_
_atom_site_label
_atom_site_type_symbol
_atom_site_fract_x
_atom_site_fract_y
_atom_site_fract_z
Be1 Be 0.125 0.125 0.125
Be2 Be 0.125 0.125 0.626
Be3 Be 0.125 0.626 0.125
Be4 Be 0.626 0.125 0.125
Al1 Al 0.500 0.500 0.500
Ir1 Ir 0.750 0.750 0.750

Entry 4:
# SCAN BeAlIr2, PBEsol geometry
# Total DFT energy (no corrections) = -39.591 eV/atom
data_BeAlIr2
_chemical_formula_sum 'Be1 Al1 Ir2'
_space_group_name_H-M_alt 'P 1'
_space_group_IT_number 1
_cell_length_a 2.885
_cell_length_b 2.885
_cell_length_c 5.797
_cell_angle_alpha 90.00
_cell_angle_beta 90.00
_cell_angle_gamma 90.00
loop_
_space_group_symop_operation_xyz
'x,y,z'
loop_
_atom_site_label
_atom_site_type_symbol
_atom_site_fract_x
_atom_site_fract_y
_atom_site_fract_z
Be1 Be 0.000 0.000 0.000
Al1 Al 0.000 0.000 0.500
Ir1 Ir 0.500 0.500 0.235
Ir2 Ir 0.500 0.500 0.765

Entry 5:
# SCAN KBeAl2, PBEsol geometry
# Total DFT energy (no corrections) = -6.704 eV/atom
data_KBeAl2
_chemical_formula_sum 'K1 Be1 Al2'
_space_group_name_H-M_alt 'P 1'
_space_group_IT_number 1
_cell_length_a 3.001
_cell_length_b 3.001
_cell_length_c 8.525
_cell_angle_alpha 90.00
_cell_angle_beta 90.00
_cell_angle_gamma 90.00
loop_
_space_group_symop_operation_xyz
'x,y,z'
loop_
_atom_site_label
_atom_site_type_symbol
_atom_site_fract_x
_atom_site_fract_y
_atom_site_fract_z
K1 K 0.000 0.000 0.000
Be1 Be 0.000 0.000 0.500
Al1 Al 0.500 0.500 0.329
Al2 Al 0.500 0.500 0.671

Entry 6:
# SCAN KBeAl2, PBEsol geometry
# Total DFT energy (no corrections) = -6.363 eV/atom
data_KBeAl2
_chemical_formula_sum 'K1 Be1 Al2'
_space_group_name_H-M_alt 'P 1'
_space_group_IT_number 1
_cell_length_a 4.744
_cell_length_b 4.744
_cell_length_c 4.744
_cell_angle_alpha 60.00
_cell_angle_beta 60.00
_cell_angle_gamma 60.00
loop_
_space_group_symop_operation_xyz
'x,y,z'
loop_
_atom_site_label
_atom_site_type_symbol
_atom_site_fract_x
_atom_site_fract_y
_atom_site_fract_z
K1 K 0.000 0.000 0.000
Be1 Be 0.750 0.750 0.750
Al1 Al 0.250 0.250 0.250
Al2 Al 0.500 0.500 0.500

Entry 7:
# SCAN KBeAl2, PBEsol geometry
# Total DFT energy (no corrections) = -6.537 eV/atom
data_KBeAl2
_chemical_formula_sum 'K2 Be2 Al4'
_space_group_name_H-M_alt 'P 1'
_space_group_IT_number 1
_cell_length_a 8.310
_cell_length_b 8.310
_cell_length_c 8.310
_cell_angle_alpha 141.61
_cell_angle_beta 141.61
_cell_angle_gamma 55.41
loop_
_space_group_symop_operation_xyz
'x,y,z'
loop_
_atom_site_label
_atom_site_type_symbol
_atom_site_fract_x
_atom_site_fract_y
_atom_site_fract_z
K1 K 0.375 0.625 0.750
K2 K 0.625 0.375 0.250
Be1 Be 0.125 0.875 0.250
Be2 Be 0.875 0.125 0.750
Al1 Al 0.000 0.000 0.000
Al2 Al 0.000 0.000 0.500
Al3 Al 0.000 0.500 0.000
Al4 Al 0.500 0.000 0.500

Entry 8:
# SCAN La3BeAl, PBEsol geometry
# Total DFT energy (no corrections) = -28.062 eV/atom
data_La3BeAl
_chemical_formula_sum 'La3 Be1 Al1'
_space_group_name_H-M_alt 'P 1'
_space_group_IT_number 1
_cell_length_a 5.271
_cell_length_b 5.271
_cell_length_c 5.271
_cell_angle_alpha 90.00
_cell_angle_beta 90.00
_cell_angle_gamma 90.00
loop_
_space_group_symop_operation_xyz
'x,y,z'
loop_
_atom_site_label
_atom_site_type_symbol
_atom_site_fract_x
_atom_site_fract_y
_atom_site_fract_z
La1 La 0.000 0.000 0.500
La2 La 0.000 0.500 0.000
La3 La 0.500 0.000 0.000
Be1 Be 0.000 0.000 0.000
Al1 Al 0.500 0.500 0.500

ΔH_f (0 K) values, unit eV per atom, following the record order: -0.991; -0.605; -0.694; -1.015; 0.343; 0.684; 0.509; 0.222.
Spin magnetization values, unit μB/f.u., following the record order: 0.00; 0.00; 0.00; 0.00; 0.34; 0.00; 0.00; 0.00.